{
  "formula": "LiCr2Cu2W4O16",
  "functional": "GGA+U",
  "state": "optimized geometry",
  "lattice": [[5.1152, 0.0000, 0.0000], [-0.0195, 7.3948, 0.0000], [-0.1433, -1.5162, 7.3660]],
  "species": ["Li", "Cr", "Cr", "Cu", "Cu", "W", "W", "W", "W", "O", "O", "O", "O", "O", "O", "O", "O", "O", "O", "O", "O", "O", "O", "O", "O"],
  "fractional_positions": [[0.0000, 0.0000, 0.0000], [0.4879, 0.6428, 0.9115], [0.9956, 0.2847, 0.2703], [0.4988, 0.1234, 0.4249], [0.9940, 0.7631, 0.7215], [0.4985, 0.1319, 0.9210], [0.4998, 0.6199, 0.4213], [0.9912, 0.2923, 0.7558], [0.9961, 0.7854, 0.2552], [0.1270, 0.0241, 0.2693], [0.1483, 0.2567, 0.0157], [0.1580, 0.5224, 0.7920], [0.1857, 0.7618, 0.4908], [0.3085, 0.1549, 0.6836], [0.3211, 0.6530, 0.1660], [0.3310, 0.8883, 0.9076], [0.3364, 0.3905, 0.3875], [0.6280, 0.6453, 0.6578], [0.6693, 0.3857, 0.8864], [0.6738, 0.1606, 0.1472], [0.6828, 0.8631, 0.3937], [0.8200, 0.0450, 0.7795], [0.8254, 0.5340, 0.2877], [0.8247, 0.7611, 0.0306], [0.8598, 0.2747, 0.5203]],
  "mass_density_kg_m3": 7327,
  "spacegroup": "P1",
  "energy_ev_per_cell": -176.76,
  "dos_ef_per_ev_cell": 0.227
}